1.
# SrNd2C | Alexandria via LeMat-Bulk | PBE | optimized geometry
# **Density**: 5.03 Mg/m³
# **Total moment**: 0.00 Bohr magnetons per cell
# **Polymorph energy (0 for the lowest one)**: 46.4 meV per atom
# **N(E_F)**: 4.36 states/eV/f.u.
# **E_form**: 0.032 eV per atom
# **Crystal system**: trigonal
data_SrNd2C
_chemical_formula_sum 'Sr3 Nd6 C3'
_space_group_name_H-M_alt 'P 1'
_space_group_IT_number 1
_space_group_name_Hall 'P 1'
_cell_length_a 3.7599
_cell_length_b 3.7599
_cell_length_c 31.3767
_cell_angle_alpha 90.00
_cell_angle_beta 90.00
_cell_angle_gamma 120.00
loop_
_atom_site_label
_atom_site_type_symbol
_atom_site_fract_x
_atom_site_fract_y
_atom_site_fract_z
Sr1 Sr 0.0000 0.0000 0.0000
Sr2 Sr 0.3333 0.6667 0.6667
Sr3 Sr 0.6667 0.3333 0.3333
Nd1 Nd 0.0000 0.0000 0.1221
Nd2 Nd 0.0000 0.0000 0.8779
Nd3 Nd 0.3333 0.6667 0.5446
Nd4 Nd 0.3333 0.6667 0.7888
Nd5 Nd 0.6667 0.3333 0.2112
Nd6 Nd 0.6667 0.3333 0.4554
C1 C 0.0000 0.0000 0.5000
C2 C 0.3333 0.6667 0.1667
C3 C 0.6667 0.3333 0.8333

=====

2.
# NdTa2C | Alexandria via LeMat-Bulk | PBE | optimized geometry
# **Density**: 11.40 Mg/m³
# **Total moment**: 0.01 Bohr magnetons per cell
# **N(E_F)**: 3.83 states/eV/f.u.
# **E_form**: 0.054 eV per atom
# **Crystal system**: trigonal
data_NdTa2C
_chemical_formula_sum 'Nd3 Ta6 C3'
_space_group_name_H-M_alt 'P 1'
_space_group_IT_number 1
_space_group_name_Hall 'P 1'
_cell_length_a 3.1651
_cell_length_b 3.1651
_cell_length_c 26.1027
_cell_angle_alpha 90.00
_cell_angle_beta 90.00
_cell_angle_gamma 120.00
loop_
_atom_site_label
_atom_site_type_symbol
_atom_site_fract_x
_atom_site_fract_y
_atom_site_fract_z
Nd1 Nd 0.0000 0.0000 0.0000
Nd2 Nd 0.3333 0.6667 0.6667
Nd3 Nd 0.6667 0.3333 0.3333
Ta1 Ta 0.0000 0.0000 0.1209
Ta2 Ta 0.0000 0.0000 0.8791
Ta3 Ta 0.3333 0.6667 0.5458
Ta4 Ta 0.3333 0.6667 0.7875
Ta5 Ta 0.6667 0.3333 0.2125
Ta6 Ta 0.6667 0.3333 0.4542
C1 C 0.0000 0.0000 0.5000
C2 C 0.3333 0.6667 0.1667
C3 C 0.6667 0.3333 0.8333

=====

3.
# NdTaC | Alexandria via LeMat-Bulk | PBE | optimized geometry
# **Density**: 9.28 Mg/m³
# **Total moment**: 0.00 Bohr magnetons per cell
# **N(E_F)**: 1.88 states/eV/f.u.
# **E_form**: 0.097 eV per atom
# **Crystal system**: tetragonal
data_NdTaC
_chemical_formula_sum 'Nd2 Ta2 C2'
_space_group_name_H-M_alt 'P 1'
_space_group_IT_number 1
_space_group_name_Hall 'P 1'
_cell_length_a 3.6872
_cell_length_b 3.6872
_cell_length_c 8.8735
_cell_angle_alpha 90.00
_cell_angle_beta 90.00
_cell_angle_gamma 90.00
loop_
_atom_site_label
_atom_site_type_symbol
_atom_site_fract_x
_atom_site_fract_y
_atom_site_fract_z
Nd1 Nd 0.2500 0.2500 0.1896
Nd2 Nd 0.7500 0.7500 0.8104
Ta1 Ta 0.2500 0.7500 0.5000
Ta2 Ta 0.7500 0.2500 0.5000
C1 C 0.2500 0.2500 0.6656
C2 C 0.7500 0.7500 0.3344

=====

4.
# Nd2Ta2C3 | Alexandria via LeMat-Bulk | PBE | optimized geometry
# **Density**: 9.59 Mg/m³
# **Total moment**: 0.00 Bohr magnetons per cell
# **N(E_F)**: 4.94 states/eV/f.u.
# **E_form**: -0.328 eV per atom
# **Crystal system**: monoclinic
data_Nd2Ta2C3
_chemical_formula_sum 'Nd4 Ta4 C6'
_space_group_name_H-M_alt 'P 1'
_space_group_IT_number 1
_space_group_name_Hall 'P 1'
_cell_length_a 12.3680
_cell_length_b 3.4667
_cell_length_c 5.9928
_cell_angle_alpha 90.00
_cell_angle_beta 112.24
_cell_angle_gamma 90.00
loop_
_atom_site_label
_atom_site_type_symbol
_atom_site_fract_x
_atom_site_fract_y
_atom_site_fract_z
Nd1 Nd 0.1070 0.0000 0.3208
Nd2 Nd 0.3930 0.5000 0.6792
Nd3 Nd 0.6070 0.5000 0.3208
Nd4 Nd 0.8930 0.0000 0.6792
Ta1 Ta 0.1537 0.5000 0.8249
Ta2 Ta 0.3463 0.0000 0.1751
Ta3 Ta 0.6537 0.0000 0.8249
Ta4 Ta 0.8463 0.5000 0.1751
C1 C 0.0000 0.5000 0.5000
C2 C 0.2456 0.0000 0.7781
C3 C 0.2544 0.5000 0.2219
C4 C 0.5000 0.0000 0.5000
C5 C 0.7456 0.5000 0.7781
C6 C 0.7544 0.0000 0.2219

=====

5.
# TbNd3C8 | Alexandria via LeMat-Bulk | PBE | optimized geometry
# **Density**: 5.61 Mg/m³
# **Total moment**: 0.00 Bohr magnetons per cell
# **N(E_F)**: 2.99 states/eV/f.u.
# **E_form**: 0.155 eV per atom
# **Crystal system**: tetragonal
data_TbNd3C8
_chemical_formula_sum 'Tb1 Nd3 C8'
_space_group_name_H-M_alt 'P 1'
_space_group_IT_number 1
_space_group_name_Hall 'P 1'
_cell_length_a 6.4221
_cell_length_b 6.4221
_cell_length_c 6.4221
_cell_angle_alpha 111.09
_cell_angle_beta 111.09
_cell_angle_gamma 106.28
loop_
_atom_site_label
_atom_site_type_symbol
_atom_site_fract_x
_atom_site_fract_y
_atom_site_fract_z
Tb1 Tb 0.0000 0.0000 0.0000
Nd1 Nd 0.2500 0.7500 0.5000
Nd2 Nd 0.5000 0.5000 0.0000
Nd3 Nd 0.7500 0.2500 0.5000
C1 C 0.0614 0.3834 0.0000
C2 C 0.1366 0.1366 0.5305
C3 C 0.3834 0.0614 0.0000
C4 C 0.3939 0.8634 0.0000
C5 C 0.6061 0.6061 0.4695
C6 C 0.6166 0.6166 0.6780
C7 C 0.8634 0.3939 0.0000
C8 C 0.9386 0.9386 0.3220

=====

6.
# TbNdC | Alexandria via LeMat-Bulk | PBE | optimized geometry
# **Density**: 7.03 Mg/m³
# **Total moment**: 0.00 Bohr magnetons per cell
# **Polymorph energy (0 for the lowest one)**: 6.4 meV per atom
# **N(E_F)**: 2.45 states/eV/f.u.
# **E_form**: -0.163 eV per atom
# **Crystal system**: trigonal
data_TbNdC
_chemical_formula_sum 'Tb1 Nd1 C1'
_space_group_name_H-M_alt 'P 1'
_space_group_IT_number 1
_space_group_name_Hall 'P 1'
_cell_length_a 3.6283
_cell_length_b 3.6283
_cell_length_c 6.5276
_cell_angle_alpha 90.00
_cell_angle_beta 90.00
_cell_angle_gamma 120.00
loop_
_atom_site_label
_atom_site_type_symbol
_atom_site_fract_x
_atom_site_fract_y
_atom_site_fract_z
Tb1 Tb 0.0000 0.0000 0.0000
Nd1 Nd 0.6667 0.3333 0.5743
C1 C 0.3333 0.6667 0.8016

=====

7.
# TbNd3C | Alexandria via LeMat-Bulk | PBE | optimized geometry
# **Density**: 6.98 Mg/m³
# **Total moment**: 0.00 Bohr magnetons per cell
# **N(E_F)**: 6.41 states/eV/f.u.
# **E_form**: 0.103 eV per atom
# **Crystal system**: cubic
data_TbNd3C
_chemical_formula_sum 'Tb1 Nd3 C1'
_space_group_name_H-M_alt 'P 1'
_space_group_IT_number 1
_space_group_name_Hall 'P 1'
_cell_length_a 5.2373
_cell_length_b 5.2373
_cell_length_c 5.2373
_cell_angle_alpha 90.00
_cell_angle_beta 90.00
_cell_angle_gamma 90.00
loop_
_atom_site_label
_atom_site_type_symbol
_atom_site_fract_x
_atom_site_fract_y
_atom_site_fract_z
Tb1 Tb 0.0000 0.0000 0.0000
Nd1 Nd 0.0000 0.5000 0.5000
Nd2 Nd 0.5000 0.0000 0.5000
Nd3 Nd 0.5000 0.5000 0.0000
C1 C 0.5000 0.5000 0.5000

=====

8.
# TbNdC2 | Alexandria via LeMat-Bulk | PBE | optimized geometry
# **Density**: 7.58 Mg/m³
# **Total moment**: 0.00 Bohr magnetons per cell
# **N(E_F)**: 5.72 states/eV/f.u.
# **E_form**: 0.205 eV per atom
# **Crystal system**: trigonal
data_TbNdC2
_chemical_formula_sum 'Tb3 Nd3 C6'
_space_group_name_H-M_alt 'P 1'
_space_group_IT_number 1
_space_group_name_Hall 'P 1'
_cell_length_a 3.7040
_cell_length_b 3.7040
_cell_length_c 18.1010
_cell_angle_alpha 90.00
_cell_angle_beta 90.00
_cell_angle_gamma 120.00
loop_
_atom_site_label
_atom_site_type_symbol
_atom_site_fract_x
_atom_site_fract_y
_atom_site_fract_z
Tb1 Tb 0.0000 0.0000 0.0000
Tb2 Tb 0.3333 0.6667 0.6667
Tb3 Tb 0.6667 0.3333 0.3333
Nd1 Nd 0.0000 0.0000 0.5000
Nd2 Nd 0.3333 0.6667 0.1667
Nd3 Nd 0.6667 0.3333 0.8333
C1 C 0.0000 0.0000 0.2537
C2 C 0.0000 0.0000 0.7463
C3 C 0.3333 0.6667 0.4130
C4 C 0.3333 0.6667 0.9203
C5 C 0.6667 0.3333 0.0797
C6 C 0.6667 0.3333 0.5870